Entry 1:
SCAN K4MgFe, single point on PBEsol structure; final energy = -8.5382 eV per atom; formation energy from the elements = 864.9 meV per atom; calculated density = 1.4 g cm⁻³; magnetization = 3.1 μB/cell
1.0
-2.658 0.914 6.698
-6.539 -2.663 1.707
-0.548 -5.679 4.496
Fe K Mg
1 4 1
Direct
0.000 0.000 0.000 Fe
0.374 0.374 0.374 K
0.374 0.374 0.877 K
0.877 0.374 0.374 K
0.374 0.877 0.374 K
0.750 0.750 0.750 Mg

Entry 2:
SCAN HfTlI3, single point on PBEsol structure; final energy = -48.3450 eV per atom; calculated density = 6.2 g cm⁻³; magnetization = 2.8 μB/cell; raw formation energy = 706 meV per atom
1.0
5.889 0.000 0.000
0.000 5.889 0.000
0.000 0.000 5.889
I Tl Hf
3 1 1
Direct
0.000 0.500 0.000 I
0.000 0.000 0.500 I
0.500 0.000 0.000 I
0.000 0.000 0.000 Tl
0.500 0.500 0.500 Hf

Entry 3:
SCAN InRuPb, single point on PBEsol structure; final energy = -47.4511 eV per atom; formation energy from the elements = 546.8 meV per atom; calculated density = 11.3 g cm⁻³; magnetization = 0.0 μB/cell
1.0
-3.002 0.424 1.481
-1.954 -2.694 -3.190
1.654 -1.853 3.884
In Pb Ru
1 1 1
Direct
0.166 0.000 0.000 In
0.666 0.667 0.333 Pb
0.168 0.333 0.667 Ru

Entry 4:
SCAN BaCr2Ni, single point on PBEsol structure; ΔE to the lowest computed polymorph = 1.02 eV/f.u.; final energy = -22.1276 eV per atom; formation energy from the elements = 995.5 meV per atom; calculated density = 6.6 g cm⁻³; magnetization = 8.3 μB/cell
1.0
-1.858 -2.476 -3.602
2.566 -3.380 -2.132
-1.133 -4.573 0.597
Ba Cr Ni
1 2 1
Direct
0.000 0.000 0.000 Ba
0.250 0.250 0.250 Cr
0.750 0.750 0.750 Cr
0.500 0.500 0.500 Ni

Entry 5:
SCAN Si2RuPb, single point on PBEsol structure; final energy = -31.8989 eV per atom; calculated density = 9.0 g cm⁻³; magnetization = 0.0 μB/cell; raw formation energy = 761 meV per atom
1.0
-2.667 -1.099 3.532
1.547 -3.262 -2.791
3.157 -2.946 1.468
Pb Ru Si
1 1 2
Direct
0.500 0.000 0.500 Pb
0.750 0.500 0.750 Ru
0.000 0.000 0.000 Si
0.250 0.500 0.250 Si

Entry 6:
SCAN LaTi2Pt2, single point on PBEsol structure; final energy = -44.2386 eV per atom; formation energy from the elements = -1128.4 meV per atom; calculated density = 10.3 g cm⁻³; magnetization = 0.0 μB/cell
1.0
-1.692 -1.846 3.586
3.914 -1.691 0.977
0.059 6.075 0.488
Ti Pt La
2 2 1
Direct
0.250 0.750 0.500 Ti
0.750 0.250 0.500 Ti
0.373 0.373 0.746 Pt
0.627 0.627 0.254 Pt
0.000 0.000 0.000 La

Entry 7:
SCAN HRhS2, single point on PBEsol structure; final energy = -14.5348 eV per atom; calculated density = 4.6 g cm⁻³; magnetization = 0.0 μB/cell
1.0
3.571 0.000 0.000
1.785 3.092 0.000
1.785 1.031 5.518
H S Rh
1 2 1
Direct
0.000 0.000 0.000 H
0.901 0.901 0.296 S
0.099 0.099 0.704 S
0.500 0.500 0.500 Rh

Entry 8:
SCAN CaMgMn3, single point on PBEsol structure; final energy = -13.2113 eV per atom; formation energy from the elements = 669.3 meV per atom; calculated density = 3.4 g cm⁻³; magnetization = 12.2 μB/cell
1.0
4.814 0.000 0.000
0.000 4.814 0.000
0.000 0.000 4.814
Ca Mn Mg
1 3 1
Direct
0.500 0.500 0.500 Ca
0.000 0.500 0.000 Mn
0.000 0.000 0.500 Mn
0.500 0.000 0.000 Mn
0.000 0.000 0.000 Mg

Entry 9:
SCAN InHPt3, single point on PBEsol structure; final energy = -49.7140 eV per atom; calculated density = 17.5 g cm⁻³; magnetization = 0.0 μB/cell
1.0
-0.974 -0.029 -3.929
-3.921 -0.258 0.974
-0.258 4.040 0.034
H Pt In
1 3 1
Direct
0.000 0.000 0.000 H
0.000 0.500 0.000 Pt
0.000 0.000 0.500 Pt
0.500 0.000 0.000 Pt
0.500 0.500 0.500 In

Entry 10:
SCAN La2CrAs, single point on PBEsol structure; final energy = -31.7592 eV per atom; formation energy from the elements = -562.9 meV per atom; calculated density = 7.0 g cm⁻³; magnetization = 4.1 μB/cell
1.0
3.907 0.000 0.000
0.000 4.540 0.000
-1.953 -2.270 5.387
As Cr La
1 1 2
Direct
0.449 0.449 0.897 As
0.790 0.290 0.581 Cr
0.020 0.020 0.040 La
0.241 0.741 0.482 La

Entry 11:
SCAN Ca2ReW, single point on PBEsol structure; ΔE to the lowest computed polymorph = 0.05 eV/f.u.; final energy = -39.4531 eV per atom; formation energy from the elements = 575.0 meV per atom; calculated density = 8.2 g cm⁻³; magnetization = 0.0 μB/cell
1.0
-2.576 -1.612 1.717
2.301 -4.658 -0.922
2.681 3.558 3.816
Re Ca W
1 2 1
Direct
0.538 0.538 0.077 Re
0.987 0.987 0.974 Ca
0.772 0.272 0.545 Ca
0.202 0.702 0.405 W

Entry 12:
SCAN HgI2, single point on PBEsol structure; final energy = -47.4818 eV per atom; calculated density = 6.4 g cm⁻³; magnetization = 0.0 μB/cell; raw formation energy = -265 meV per atom
1.0
4.398 0.000 0.000
0.000 4.398 0.000
0.000 0.000 12.249
I Hg
4 2
Direct
0.000 0.500 0.143 I
0.000 0.500 0.643 I
0.500 0.000 0.357 I
0.500 0.000 0.857 I
0.000 0.000 0.000 Hg
0.500 0.500 0.500 Hg

Entry 13:
SCAN KBe2Tc, single point on PBEsol structure; ΔE to the lowest computed polymorph = 1.18 eV/f.u.; final energy = -12.0933 eV per atom; formation energy from the elements = 930.7 meV per atom; calculated density = 4.6 g cm⁻³; magnetization = 0.0 μB/cell
1.0
2.582 0.000 0.000
0.000 4.682 0.000
0.000 0.000 4.682
Be K Tc
2 1 1
Direct
0.000 0.000 0.500 Be
0.000 0.500 0.000 Be
0.500 0.500 0.500 K
0.500 0.000 0.000 Tc

Entry 14:
SCAN BiPtS3, single point on PBEsol structure; final energy = -34.1230 eV per atom; calculated density = 6.4 g cm⁻³; magnetization = 2.4 μB/cell; raw formation energy = 1408 meV per atom
1.0
5.072 0.000 0.000
0.000 5.072 0.000
0.000 0.000 5.072
S Bi Pt
3 1 1
Direct
0.000 0.500 0.000 S
0.000 0.000 0.500 S
0.500 0.000 0.000 S
0.000 0.000 0.000 Bi
0.500 0.500 0.500 Pt

Entry 15:
SCAN NiTe2Ru, single point on PBEsol structure; ΔE to the lowest computed polymorph = 0.00 eV/f.u.; final energy = -31.3013 eV per atom; calculated density = 8.5 g cm⁻³; magnetization = 0.0 μB/cell; raw formation energy = 74 meV per atom
1.0
-1.924 2.581 0.403
-2.980 -2.150 -0.451
2.286 -1.372 6.637
Ni Ru Te
1 1 2
Direct
0.453 0.453 0.906 Ni
0.324 0.824 0.647 Ru
0.990 0.990 0.980 Te
0.733 0.233 0.467 Te

Entry 16:
SCAN Cs3HgIr, single point on PBEsol structure; final energy = -49.9799 eV per atom; formation energy from the elements = 559.4 meV per atom; calculated density = 5.8 g cm⁻³; magnetization = 0.0 μB/cell
1.0
-0.072 -2.596 5.508
-1.948 -5.209 -2.481
5.769 -1.791 -0.769
Cs Ir Hg
3 1 1
Direct
0.000 0.500 0.000 Cs
0.000 0.000 0.500 Cs
0.500 0.000 0.000 Cs
0.000 0.000 0.000 Ir
0.500 0.500 0.500 Hg

Entry 17:
SCAN Be2IrRu, single point on PBEsol structure; final energy = -29.1617 eV per atom; formation energy from the elements = -503.6 meV per atom; calculated density = 12.2 g cm⁻³; magnetization = 0.0 μB/cell
1.0
-2.608 -0.363 -0.849
-0.796 -1.702 3.172
0.251 3.813 2.108
Ru Ir Be
1 1 2
Direct
0.770 0.500 0.541 Ru
0.480 0.000 0.959 Ir
0.203 0.000 0.406 Be
0.046 0.500 0.093 Be

Entry 18:
SCAN K2LiSb, single point on PBEsol structure; ΔE to the lowest computed polymorph = 0.94 eV/f.u.; final energy = -14.3606 eV per atom; calculated density = 2.3 g cm⁻³; magnetization = 0.0 μB/cell; raw formation energy = -284 meV per atom
1.0
-2.418 -2.505 0.038
0.783 -0.690 4.309
-6.832 6.627 2.303
K Li Sb
2 1 1
Direct
0.000 0.000 0.914 K
0.500 0.500 0.317 K
0.000 0.000 0.596 Li
0.500 0.500 0.673 Sb

Entry 19:
SCAN LiZn2Cd2, single point on PBEsol structure; final energy = -18.0796 eV per atom; formation energy from the elements = -29.8 meV per atom; calculated density = 6.5 g cm⁻³; magnetization = 0.0 μB/cell
1.0
-1.641 2.725 -1.790
-1.045 -2.338 -2.601
-4.528 -1.442 5.676
Zn Li Cd
2 1 2
Direct
0.250 0.750 0.500 Zn
0.750 0.250 0.500 Zn
0.000 0.000 0.000 Li
0.401 0.401 0.801 Cd
0.599 0.599 0.199 Cd

Entry 20:
SCAN AlTlHg2, single point on PBEsol structure; final energy = -53.9128 eV per atom; formation energy from the elements = 197.7 meV per atom; calculated density = 11.5 g cm⁻³; magnetization = 0.0 μB/cell
1.0
4.628 0.000 0.000
0.000 4.628 0.000
-2.314 -2.314 4.273
Tl Hg Al
1 2 1
Direct
0.500 0.500 0.000 Tl
0.750 0.250 0.500 Hg
0.250 0.750 0.500 Hg
0.000 0.000 0.000 Al

Entry 21:
SCAN MnCd2As, single point on PBEsol structure; final energy = -24.7864 eV per atom; formation energy from the elements = 32.3 meV per atom; calculated density = 8.2 g cm⁻³; magnetization = 3.8 μB/cell
1.0
3.912 0.000 0.000
0.000 3.901 0.000
-1.956 -1.951 4.715
As Cd Mn
1 2 1
Direct
0.000 0.500 0.000 As
0.750 0.750 0.500 Cd
0.250 0.250 0.500 Cd
0.500 0.000 0.000 Mn

Entry 22:
SCAN Pr5Al4Ag2Ge4, single point on PBEsol structure; final energy = -26.4561 eV per atom; formation energy from the elements = -674.6 meV per atom; calculated density = 6.2 g cm⁻³; magnetization = 0.5 μB/cell
1.0
-2.114 0.230 3.749
-2.315 -3.495 -1.091
14.278 -9.469 8.632
Pr Al Ag Ge
5 4 2 4
Direct
0.000 0.006 0.012 Pr
0.000 0.395 0.790 Pr
0.000 0.796 0.592 Pr
0.000 0.199 0.398 Pr
0.000 0.602 0.204 Pr
0.500 0.732 0.464 Al
0.500 0.134 0.269 Al
0.500 0.535 0.071 Al
0.500 0.468 0.936 Al
0.500 0.934 0.869 Ag
0.500 0.331 0.662 Ag
0.500 0.867 0.733 Ge
0.500 0.264 0.528 Ge
0.500 0.666 0.333 Ge
0.500 0.069 0.138 Ge

Entry 23:
SCAN YFe3Pt, single point on PBEsol structure; final energy = -28.5970 eV per atom; formation energy from the elements = 1887.9 meV per atom; calculated density = 8.7 g cm⁻³; magnetization = 7.2 μB/cell
1.0
-2.064 -3.245 2.156
3.068 -2.857 -1.364
2.401 0.862 3.596
Y Fe Pt
1 3 1
Direct
0.000 0.000 0.000 Y
0.000 0.500 0.000 Fe
0.000 0.000 0.500 Fe
0.500 0.000 0.000 Fe
0.500 0.500 0.500 Pt

Entry 24:
SCAN YSc2Ag, single point on PBEsol structure; ΔE to the lowest computed polymorph = 0.65 eV/f.u.; final energy = -21.9189 eV per atom; formation energy from the elements = 2.1 meV per atom; calculated density = 5.3 g cm⁻³; magnetization = 0.0 μB/cell
1.0
-2.184 -2.389 -2.983
0.057 -3.456 2.726
-2.974 4.311 1.972
Ag Sc Y
1 2 1
Direct
0.250 0.750 0.500 Ag
0.000 0.000 0.000 Sc
0.750 0.250 0.500 Sc
0.500 0.500 0.000 Y

Entry 25:
SCAN ZrTc2Ir, single point on PBEsol structure; ΔE to the lowest computed polymorph = 0.18 eV/f.u.; final energy = -43.2051 eV per atom; formation energy from the elements = -225.7 meV per atom; calculated density = 12.9 g cm⁻³; magnetization = 0.0 μB/cell
1.0
-0.498 -3.930 0.241
3.853 -0.431 0.928
-2.554 2.525 3.212
Ir Tc Zr
1 2 1
Direct
0.250 0.750 0.500 Ir
0.001 0.001 0.001 Tc
0.749 0.249 0.499 Tc
0.500 0.500 0.999 Zr

Entry 26:
SCAN ScMn4Re, single point on PBEsol structure; final energy = -26.3600 eV per atom; formation energy from the elements = 32.5 meV per atom; calculated density = 10.1 g cm⁻³; magnetization = 0.0 μB/cell
1.0
4.712 0.000 0.000
2.356 4.081 0.000
2.356 1.360 3.847
Mn Re Sc
4 1 1
Direct
0.374 0.374 0.374 Mn
0.374 0.374 0.879 Mn
0.879 0.374 0.374 Mn
0.374 0.879 0.374 Mn
0.750 0.750 0.750 Re
0.000 0.000 0.000 Sc

Entry 27:
SCAN SrTcSe, single point on PBEsol structure; final energy = -25.0148 eV per atom; calculated density = 5.1 g cm⁻³; magnetization = 4.5 μB/cell; raw formation energy = 790 meV per atom
1.0
4.962 0.000 0.000
2.481 4.297 0.000
2.481 1.432 4.051
Se Sr Tc
1 1 1
Direct
0.500 0.500 0.500 Se
0.750 0.750 0.750 Sr
0.000 0.000 0.000 Tc

Entry 28:
SCAN Rh, single point on PBEsol structure; ΔE to the lowest computed polymorph = 0.06 eV/f.u.; final energy = -33.7153 eV per atom; formation energy from the elements = 56.2 meV per atom; calculated density = 12.7 g cm⁻³; magnetization = 0.0 μB/cell
1.0
2.680 0.000 0.000
-1.340 2.321 0.000
0.000 0.000 4.343
Rh
2
Direct
0.333 0.667 0.250 Rh
0.667 0.333 0.750 Rh

Entry 29:
SCAN HgBi3Mo, single point on PBEsol structure; final energy = -67.2096 eV per atom; formation energy from the elements = 548.3 meV per atom; calculated density = 10.1 g cm⁻³; magnetization = 0.0 μB/cell
1.0
5.340 0.000 0.000
0.000 5.340 0.000
0.000 0.000 5.340
Mo Bi Hg
1 3 1
Direct
0.000 0.000 0.000 Mo
0.000 0.500 0.000 Bi
0.000 0.000 0.500 Bi
0.500 0.000 0.000 Bi
0.500 0.500 0.500 Hg